A plane-wave DFT calculation with PBE was carried out for a relaxed structure of Sr2CdCuSi.

```
Sr2CdCuSi
1.0
5.6943 0.0000 0.0000
0.0000 4.8511 0.0000
0.0000 0.0000 5.6943
Sr Cu Cd Si
2 1 1 1
direct
0.0000 0.0000 0.5000 Sr
0.5000 0.0000 0.0000 Sr
0.0000 0.0000 0.0000 Cu
0.0000 0.5000 0.0000 Cd
0.5000 0.5000 0.5000 Si
```

## Properties
Uncorrected formation energy   148 meV per atom
DOS(E_F)   4.574 states/eV/cell

---

A plane-wave DFT calculation with PBE was carried out for a relaxed structure of EuZn2P2.

```
EuZn2P2
1.0
4.0873 0.0000 0.0000
-2.0436 3.5397 0.0000
0.0000 0.0000 6.8949
P Zn Eu
2 2 1
direct
0.6667 0.3333 0.7332 P
0.3333 0.6667 0.2668 P
0.6667 0.3333 0.3661 Zn
0.3333 0.6667 0.6339 Zn
0.0000 0.0000 0.0000 Eu
```

## Properties
DOS(E_F)   0.330 states/eV/cell
Energy relative to the elements   -69.1 kJ/mol of atoms

---

A plane-wave DFT calculation with PBE was carried out for a relaxed structure of ScCrRu.

```
ScCrRu
1.0
-1.9896 2.6195 -2.6896
-0.6894 -4.1874 -0.2120
-2.2336 0.2707 1.9159
Sc Cr Ru
1 1 1
direct
0.3333 0.6667 0.6607 Sc
0.0000 0.0000 0.0688 Cr
0.6667 0.3333 0.2705 Ru
```

## Properties
DOS(E_F)   3.259 states/eV/cell
Energy relative to the elements   4.0 kJ/mol of atoms

---

A plane-wave DFT calculation with PBE was carried out for a relaxed structure of Pa3Si7Ru.

```
Pa3Si7Ru
1.0
-0.1758 -0.1707 -3.9283
8.1333 -4.8943 1.8206
-5.5896 -9.0494 0.6432
Si Ru Pa
14 2 6
direct
0.5007 0.0013 0.1184 Si
0.2722 0.5444 0.4618 Si
0.3842 0.7683 0.7500 Si
0.6158 0.2317 0.2500 Si
0.2722 0.5444 0.0382 Si
0.6235 0.2470 0.8570 Si
0.5007 0.0013 0.3816 Si
0.4993 0.9987 0.6184 Si
0.4993 0.9987 0.8816 Si
0.7278 0.4556 0.5382 Si
0.6235 0.2470 0.6430 Si
0.7278 0.4556 0.9618 Si
0.3765 0.7530 0.3570 Si
0.3765 0.7530 0.1430 Si
0.0556 0.1113 0.7500 Ru
0.9444 0.8887 0.2500 Ru
0.8896 0.7793 0.5539 Pa
0.8896 0.7793 0.9461 Pa
0.7671 0.5342 0.2500 Pa
0.2329 0.4658 0.7500 Pa
0.1104 0.2207 0.0539 Pa
0.1104 0.2207 0.4461 Pa
```

## Properties
Uncorrected formation energy   -429 meV per atom
DOS(E_F)   18.114 states/eV/cell

---

A plane-wave DFT calculation with PBE was carried out for a relaxed structure of Cs6Ag2Pb.

```
Cs6Ag2Pb
1.0
-6.1444 6.2691 6.9999
6.1444 -6.2691 6.9999
6.1444 6.2691 -6.9999
Cs Ag Pb
12 4 2
direct
0.2896 0.1781 0.4677 Cs
0.7446 0.9233 0.1786 Cs
0.9758 0.6533 0.3225 Cs
0.0242 0.3467 0.6775 Cs
0.2554 0.0767 0.8214 Cs
0.2554 0.4340 0.1786 Cs
0.7104 0.8219 0.5323 Cs
0.6692 0.3467 0.3225 Cs
0.7104 0.1781 0.8886 Cs
0.3308 0.6533 0.6775 Cs
0.7446 0.5660 0.8214 Cs
0.2896 0.8219 0.1114 Cs
0.6090 0.1090 0.5000 Ag
0.0000 0.7456 0.7456 Ag
0.3910 0.8910 0.5000 Ag
0.0000 0.2544 0.2544 Ag
0.5000 0.5000 0.0000 Pb
0.0000 0.0000 0.0000 Pb
```

## Properties
DOS(E_F)   10.217 states/eV/cell
Energy relative to the elements   1.0 kJ/mol of atoms

---

A plane-wave DFT calculation with PBE was carried out for a relaxed structure of TbCe2P.

```
TbCe2P
1.0
-1.7545 1.4271 -3.0555
-3.4350 -1.2894 -0.9946
-5.6955 6.5214 3.9516
P Ce Tb
1 2 1
direct
0.6665 0.6665 0.0005 P
0.0626 0.0626 0.8122 Ce
0.2703 0.2703 0.1890 Ce
0.5006 0.5006 0.4983 Tb
```

## Properties
DOS(E_F)   9.183 states/eV/cell
Energy relative to the elements   -53.6 kJ/mol of atoms

---

A plane-wave DFT calculation with PBE was carried out for a relaxed structure of Eu2MgP.

```
Eu2MgP
1.0
3.7867 0.0000 0.0000
0.0000 3.7867 0.0000
0.0000 0.0000 7.5697
P Eu Mg
1 2 1
direct
0.5000 0.5000 0.0000 P
0.0000 0.0000 0.7975 Eu
0.0000 0.0000 0.2025 Eu
0.5000 0.5000 0.5000 Mg
```

## Properties
DOS(E_F)   3.532 states/eV/cell
Energy relative to the elements   -57.9 kJ/mol of atoms

---

A plane-wave DFT calculation with PBE was carried out for a relaxed structure of Li4AgPt.

```
Li4AgPt
1.0
0.0000 3.4722 3.4722
3.4722 0.0000 3.4722
3.4722 3.4722 0.0000
Pt Li Ag
1 4 1
direct
0.7500 0.7500 0.7500 Pt
0.3764 0.3764 0.8709 Li
0.8709 0.3764 0.3764 Li
0.3764 0.3764 0.3764 Li
0.3764 0.8709 0.3764 Li
0.0000 0.0000 0.0000 Ag
```

## Properties
DOS(E_F)   1.493 states/eV/cell
Energy relative to the elements   -16.5 kJ/mol of atoms

---

A plane-wave DFT calculation with PBE was carried out for a relaxed structure of NaLa2Tb.

```
NaLa2Tb
1.0
3.6789 0.0000 0.0000
1.8394 3.1860 0.0000
1.8394 1.0620 12.3556
Na La Tb
1 2 1
direct
0.6669 0.6669 0.9994 Na
0.2443 0.2443 0.2670 La
0.0889 0.0889 0.7334 La
0.4999 0.4999 0.5002 Tb
```

## Properties
DOS(E_F)   4.721 states/eV/cell
Energy relative to the elements   6.8 kJ/mol of atoms

---

A plane-wave DFT calculation with PBE was carried out for a relaxed structure of CaSi.

```
CaSi
1.0
-3.5183 -0.5989 1.5728
-0.0265 -5.4042 -2.1170
3.6213 -2.7768 7.0433
Ca Si
4 4
direct
0.2500 0.1107 0.1798 Ca
0.7500 0.6107 0.3202 Ca
0.2500 0.3893 0.6798 Ca
0.7500 0.8893 0.8202 Ca
0.2500 0.6139 0.0369 Si
0.7500 0.3861 0.9631 Si
0.7500 0.1139 0.4631 Si
0.2500 0.8861 0.5369 Si
```

## Properties
Uncorrected formation energy   -533 meV per atom
DOS(E_F)   3.013 states/eV/cell

---

A plane-wave DFT calculation with PBE was carried out for a relaxed structure of Nb2HOsPt.

```
Nb2HOsPt
1.0
-2.9178 1.7948 -3.6708
-1.7174 -2.6327 0.0779
-3.0291 2.0772 3.4234
Nb H Pt Os
2 1 1 1
direct
0.0000 0.0000 0.5000 Nb
0.5000 0.0000 0.0000 Nb
0.0000 0.5000 0.0000 H
0.5000 0.5000 0.5000 Pt
0.0000 0.0000 0.0000 Os
```

## Properties
DOS(E_F)   4.387 states/eV/cell
Uncorrected energy   -38.3 eV/f.u.

---

A plane-wave DFT calculation with PBE was carried out for a relaxed structure of BaErAg2.

```
BaErAg2
1.0
3.7140 0.0000 0.0000
0.0000 5.5141 0.0000
0.0000 0.0000 5.5141
Ag Er Ba
2 1 1
direct
0.0000 0.0000 0.5000 Ag
0.0000 0.5000 0.0000 Ag
0.5000 0.5000 0.5000 Er
0.5000 0.0000 0.0000 Ba
```

## Properties
DOS(E_F)   2.657 states/eV/cell
Energy relative to the elements   -13.9 kJ/mol of atoms

---

A plane-wave DFT calculation with PBE was carried out for a relaxed structure of CsTlTe2Au.

```
CsTlTe2Au
1.0
7.1488 0.0000 0.0000
0.0000 7.5580 0.0000
0.0000 -3.7790 7.4480
Te Cs Tl Au
4 2 2 2
direct
0.7441 0.6254 0.2508 Te
0.7441 0.8746 0.7492 Te
0.2559 0.1254 0.2508 Te
0.2559 0.3746 0.7492 Te
0.2388 0.7500 0.5000 Cs
0.7612 0.2500 0.5000 Cs
0.5000 0.2500 0.0000 Tl
0.5000 0.7500 0.0000 Tl
0.0000 0.5000 0.0000 Au
0.0000 0.0000 0.0000 Au
```

## Properties
Uncorrected formation energy   -473 meV per atom
DOS(E_F)   3.774 states/eV/cell

---

A plane-wave DFT calculation with PBE was carried out for a relaxed structure of DyY3Er4Se8.

```
DyY3Er4Se8
1.0
-4.5942 4.6673 4.7952
-5.0454 -6.2505 1.2500
7.9289 -0.8237 1.5285
Se Dy Y Er
8 1 3 4
direct
0.2485 0.2448 0.4969 Se
0.2515 0.7551 0.5031 Se
0.7485 0.2449 0.4969 Se
0.7515 0.7552 0.5031 Se
0.2510 0.7547 0.0032 Se
0.7490 0.2453 0.9968 Se
0.2478 0.2453 0.9968 Se
0.7522 0.7547 0.0032 Se
0.0000 0.5000 0.0000 Dy
0.0000 0.5000 0.5000 Y
0.5000 0.5000 0.5000 Y
0.5000 0.5000 0.0000 Y
0.0000 0.0000 0.0000 Er
0.5000 0.0000 0.5000 Er
0.0000 0.0000 0.5000 Er
0.5000 0.0000 0.0000 Er
```

## Properties
Uncorrected formation energy   -1723 meV per atom
DOS(E_F)   10.806 states/eV/cell

---

A plane-wave DFT calculation with PBE was carried out for a relaxed structure of NdAl4Ga.

```
NdAl4Ga
1.0
-2.9367 3.6937 -2.0611
-3.3567 -3.5618 -1.6004
-2.0869 0.8103 10.8577
Ga Al Nd
2 8 2
direct
0.2500 0.7500 0.5000 Ga
0.5000 0.5000 0.0000 Ga
0.1465 0.3928 0.2930 Al
0.6035 0.3498 0.2070 Al
0.6072 0.8535 0.7070 Al
0.6035 0.8572 0.2070 Al
0.1465 0.9002 0.2930 Al
0.6502 0.3965 0.7930 Al
0.1428 0.3965 0.7930 Al
0.0998 0.8535 0.7070 Al
0.7500 0.2500 0.5000 Nd
0.0000 0.0000 0.0000 Nd
```

## Properties
DOS(E_F)   4.034 states/eV/cell
Energy relative to the elements   2.4 kJ/mol of atoms

---

A plane-wave DFT calculation with PBE was carried out for a relaxed structure of SrNdPu2O8.

```
SrNdPu2O8
1.0
-0.7426 1.1946 -5.3243
-4.2587 -3.4863 -0.1882
-0.8040 5.1099 4.1065
O Pu Sr Nd
8 2 1 1
direct
0.8785 0.4032 0.2465 O
0.5968 0.1216 0.7535 O
0.8784 0.8433 0.2465 O
0.3680 0.8433 0.2465 O
0.3680 0.4032 0.2465 O
0.5968 0.6320 0.7535 O
0.1567 0.1215 0.7535 O
0.1567 0.6320 0.7535 O
0.5000 0.5000 0.0000 Pu
0.2500 0.7500 0.5000 Pu
0.7500 0.2500 0.5000 Sr
0.0000 0.0000 0.0000 Nd
```

## Properties
Uncorrected formation energy   -2827 meV per atom
DOS(E_F)   11.171 states/eV/cell

---

A plane-wave DFT calculation with PBE was carried out for a relaxed structure of AlPCl2.

```
AlPCl2
1.0
8.0477 0.0475 0.0285
7.1319 3.7289 0.0285
7.1319 1.7742 3.2798
Al Cl P
1 2 1
direct
0.7709 0.7709 0.7709 Al
0.0361 0.0361 0.0361 Cl
0.2188 0.2188 0.2188 Cl
0.4743 0.4743 0.4743 P
```

## Properties
Uncorrected formation energy   -285 meV per atom
DOS(E_F)   3.689 states/eV/cell

---

A plane-wave DFT calculation with PBE was carried out for a relaxed structure of Tl2IrSe.

```
Tl2IrSe
1.0
3.9909 0.0000 0.0000
0.0000 7.1356 -0.0135
0.0000 4.8321 3.3189
Se Ir Tl
1 1 2
direct
0.0000 0.0000 0.5000 Se
0.5000 0.5000 0.5000 Ir
0.0000 0.0000 0.0000 Tl
0.5000 0.5000 0.0000 Tl
```

## Properties
Uncorrected formation energy   468 meV per atom
DOS(E_F)   2.480 states/eV/cell

---

A plane-wave DFT calculation with PBE was carried out for a relaxed structure of BeAlAgAu.

```
BeAlAgAu
1.0
-2.0773 3.8403 -0.0409
-3.1081 0.7694 -2.9686
-4.1833 0.2325 1.2290
Al Ag Au Be
1 1 1 1
direct
0.0000 0.0000 0.0000 Al
0.2500 0.2500 0.2500 Ag
0.7500 0.7500 0.7500 Au
0.5000 0.5000 0.5000 Be
```

## Properties
DOS(E_F)   0.800 states/eV/cell
Energy relative to the elements   -7.0 kJ/mol of atoms

---

A plane-wave DFT calculation with PBE was carried out for a relaxed structure of Tm2TeH.

```
Tm2TeH
1.0
-3.1960 -1.8437 -0.9824
0.1968 -3.5407 -1.4154
-1.4715 -4.3563 5.5429
Tm H Te
2 1 1
direct
0.2700 0.2700 0.1900 Tm
0.7300 0.7300 0.8100 Tm
0.0000 0.0000 0.0000 H
0.5000 0.5000 0.5000 Te
```

## Properties
DOS(E_F)   2.316 states/eV/cell
Uncorrected energy   -18.0 eV/f.u.